K4CePr3O8 (PBE, optimized geometry); energy relative to the elements, uncorrected = -2579 meV per atom; E_tot = -105.597 eV/cell; magnetization = 0.985 μB per formula unit
1.0
-6.386 -3.346 -1.396
1.924 -5.643 4.720
0.058 6.901 2.511
O Pr Ce K
8 3 1 4
Cartesian
-0.104 -1.509 4.093
-4.300 -0.579 1.741
-3.301 0.287 4.656
-0.075 1.977 5.361
-1.096 1.079 2.426
-4.329 -4.064 0.473
-1.103 -2.374 1.179
-3.308 -3.167 3.408
-2.231 -4.494 1.662
0.991 0.629 3.615
-2.202 -1.044 2.917
0.962 -2.821 2.360
0.029 3.450 1.255
-3.193 -1.673 -0.698
-3.164 1.778 0.557
0.000 0.000 0.000

---

K3Ce3PtO8 (PBE, optimized geometry); energy relative to the elements, uncorrected = -2302 meV per atom; E_tot = -101.332 eV/cell; magnetization = 1.057 μB per formula unit
1.0
-7.195 -0.174 -1.579
3.510 -5.779 1.830
-1.273 5.152 5.233
O Pt K Ce
8 1 3 3
Cartesian
0.491 -1.853 4.923
-2.536 1.123 1.200
-0.867 0.907 3.849
-0.437 -1.553 2.163
-5.448 1.052 0.561
-4.520 0.752 3.321
-4.091 -1.708 1.635
-2.421 -1.924 4.284
-0.636 2.576 2.617
1.755 -2.889 0.915
0.000 0.000 0.000
-1.842 -2.976 0.125
-4.234 2.489 1.827
-2.479 -0.400 2.742
1.119 -0.314 3.532

---

K2CePtO4 (PBE, optimized geometry); energy relative to the elements, uncorrected = -1801 meV per atom; E_tot = -48.414 eV/cell; magnetization = 0.000 μB per formula unit
1.0
-3.280 -3.204 -3.388
5.272 -2.091 0.578
-1.914 0.200 5.367
O K Pt Ce
4 2 1 1
Cartesian
-1.265 -2.289 0.377
-0.249 -0.952 3.668
0.017 -3.968 -1.663
1.655 -2.982 2.730
1.836 -3.121 0.081
0.000 0.000 0.000
1.679 -0.946 2.972
-1.757 -1.975 2.475

---

KCePuO6 (PBE, optimized geometry); energy relative to the elements, uncorrected = -2583 meV per atom; E_tot = -148.725 eV/cell; magnetization = 1.000 μB per formula unit
1.0
-4.254 -3.894 1.445
5.724 -1.506 0.560
-0.002 3.842 10.347
Ce O Pu K
2 12 2 2
Cartesian
-0.929 -0.217 8.910
2.398 -1.342 3.442
3.993 -0.372 7.835
0.757 -2.790 2.845
-2.032 -3.735 3.196
-2.524 -1.187 4.518
-1.510 -0.999 2.180
0.406 -0.763 4.361
2.136 1.795 7.030
3.500 2.176 9.157
0.712 1.232 9.507
1.062 -0.796 7.991
-0.667 -3.354 5.323
2.978 -0.560 10.173
-0.928 -2.138 3.737
2.397 0.579 8.615
-0.001 1.921 5.173
0.000 0.000 0.000

---

KCePu2O8 (PBE, optimized geometry); energy relative to the elements, uncorrected = -2590 meV per atom; E_tot = -106.440 eV/cell; magnetization = 5.000 μB per formula unit
1.0
-4.979 -1.043 2.022
-1.895 -0.791 -5.074
4.654 -4.220 1.873
O Pu K Ce
8 2 1 1
Cartesian
-4.881 -2.599 -2.032
2.527 -3.466 1.158
-4.042 -2.250 0.213
-0.676 -4.346 -0.631
-1.410 -1.697 -0.855
0.325 -3.928 2.052
-2.248 -2.048 -3.100
1.526 -3.885 -1.525
-0.339 -2.964 -2.364
-3.437 -0.917 -1.526
-1.881 -3.090 1.184
0.000 0.000 0.000

---

K2CePuO4 (PBE, optimized geometry); energy relative to the elements, uncorrected = -2496 meV per atom; E_tot = -62.260 eV/cell; magnetization = 6.000 μB per formula unit
1.0
3.606 0.000 0.000
0.000 6.244 0.101
0.000 -2.183 6.248
K O Ce Pu
2 4 1 1
Cartesian
0.000 2.030 3.174
1.803 -1.092 3.124
1.803 1.020 1.196
0.000 -0.076 5.089
1.803 3.040 5.153
0.000 4.136 1.260
1.803 3.122 0.050
0.000 0.000 0.000

---

K3CePu2O9 (PBE, optimized geometry); energy relative to the elements, uncorrected = -2609 meV per atom; E_tot = -121.644 eV/cell; magnetization = 5.000 μB per formula unit
1.0
-1.055 -3.863 -4.593
4.945 3.560 -0.088
3.878 -5.299 3.567
Pu O K Ce
2 9 3 1
Cartesian
4.193 -5.827 -0.104
3.575 0.224 -1.010
2.783 -1.152 0.329
2.606 -6.164 -1.401
5.162 0.561 0.287
3.114 -4.305 0.809
-0.527 -1.932 -2.296
4.655 -1.298 -1.922
2.472 1.780 -0.044
4.985 -4.451 -1.443
1.945 -0.152 -2.340
0.000 0.000 0.000
5.519 -2.432 0.778
2.249 -3.171 -1.892
1.939 -2.650 1.783

---

K4CePu3O12 (PBE, optimized geometry); energy relative to the elements, uncorrected = -2603 meV per atom; E_tot = -164.875 eV/cell; magnetization = 8.000 μB per formula unit
1.0
7.455 0.000 0.000
-2.485 7.029 0.000
-2.485 -3.514 6.087
O K Pu Ce
12 4 3 1
Cartesian
1.298 -0.918 1.590
3.672 5.192 0.000
3.727 2.636 1.522
1.242 -0.879 4.565
-1.242 3.514 3.043
1.298 1.836 0.000
3.727 0.000 3.043
-3.672 2.596 4.497
-1.242 0.879 4.565
1.242 4.393 1.522
-1.298 0.918 1.590
3.672 -2.596 4.497
3.727 0.000 0.000
-1.242 -1.757 3.043
-1.242 3.514 0.000
1.242 1.757 3.043
2.485 -1.757 3.043
-2.485 1.757 3.043
2.485 3.514 0.000
0.000 0.000 0.000

---

KCe2PuO8 (PBE, optimized geometry); energy relative to the elements, uncorrected = -2715 meV per atom; E_tot = -99.538 eV/cell; magnetization = 1.000 μB per formula unit
1.0
-5.044 -1.455 -0.716
1.258 -4.966 1.292
-1.385 1.431 6.849
O Ce K Pu
8 2 1 1
Cartesian
-4.008 -3.035 7.251
-5.022 -0.949 5.192
-1.977 -1.421 3.611
-1.006 -3.158 6.466
-4.165 -1.833 0.959
-3.194 -3.569 3.814
-0.149 -4.042 2.233
-1.163 -1.955 0.173
-2.242 -2.850 2.014
-2.929 -2.140 5.411
-0.693 0.715 3.424
0.000 0.000 0.000

---

K2CePuO6 (PBE, optimized geometry); energy relative to the elements, uncorrected = -2623 meV per atom; E_tot = -156.877 eV/cell; magnetization = 2.000 μB per formula unit
1.0
6.121 0.000 0.000
0.000 6.121 0.000
0.000 0.000 8.656
K O Pu Ce
4 12 2 2
Cartesian
3.060 4.591 6.492
0.000 1.530 2.164
3.060 4.591 2.164
0.000 1.530 6.492
1.466 6.059 0.000
1.594 0.062 4.328
0.000 4.592 6.584
1.467 3.126 0.000
4.527 2.994 4.328
4.654 3.126 0.000
3.060 1.529 2.256
4.655 6.059 0.000
0.000 4.592 2.072
4.526 0.062 4.328
1.593 2.994 4.328
3.060 1.529 6.400
0.000 4.592 0.000
3.060 1.529 4.328
3.060 1.531 0.000
0.000 4.589 4.328

---

KRbCeO3 (PBE, optimized geometry); energy relative to the elements, uncorrected = -2311 meV per atom; E_tot = -73.480 eV/cell; magnetization = 0.000 μB per formula unit
1.0
6.241 -0.008 0.000
1.320 6.613 0.000
0.660 3.306 6.705
O Rb Ce K
6 2 2 2
Cartesian
4.763 8.681 6.145
3.458 1.231 0.560
2.880 6.611 2.892
7.223 5.370 0.560
0.998 4.541 6.145
5.341 3.301 3.813
5.341 3.301 1.087
2.880 6.611 5.618
5.341 3.301 5.867
2.880 6.611 0.838
6.001 6.607 3.025
2.220 3.305 3.680

---

K3Ce2RhO6 (PBE, optimized geometry); energy relative to the elements, uncorrected = -2135 meV per atom; E_tot = -77.881 eV/cell; magnetization = 1.965 μB per formula unit
1.0
-3.964 -2.223 -4.048
-1.342 0.021 5.937
-0.855 6.367 -1.206
Ce O K Rh
2 6 3 1
Cartesian
-2.215 -0.726 2.612
-3.091 -1.476 -0.724
-1.000 1.121 2.047
-1.956 0.303 -1.592
-5.161 3.043 -1.365
-4.206 3.861 2.274
-3.916 -0.352 1.108
-2.246 4.517 -0.425
-2.173 2.859 3.797
-3.988 1.306 -3.115
-3.081 2.082 0.341
0.000 0.000 0.000

---

KCeRhO4 (PBE, optimized geometry); energy relative to the elements, uncorrected = -1967 meV per atom; E_tot = -95.963 eV/cell; magnetization = 0.000 μB per formula unit
1.0
-4.529 -3.759 3.246
5.314 -2.845 -2.839
0.421 4.502 5.800
O K Rh Ce
8 2 2 2
Cartesian
4.181 -0.526 2.436
1.648 -0.896 1.262
-2.976 -1.576 3.771
2.366 -2.032 3.737
-1.161 -0.070 2.470
1.796 0.693 3.309
-0.443 -1.206 4.945
-0.591 -2.795 2.898
1.208 2.699 4.811
-0.003 -4.801 1.396
0.603 -1.051 3.103
2.867 0.828 1.480
-2.054 0.371 4.523
-2.265 -1.879 1.623

---

K2CeRhO4 (PBE, optimized geometry); energy relative to the elements, uncorrected = -1830 meV per atom; E_tot = -49.951 eV/cell; magnetization = 0.990 μB per formula unit
1.0
3.430 0.000 0.000
0.000 5.793 -0.152
0.000 -2.260 6.334
K O Ce Rh
2 4 1 1
Cartesian
1.715 -1.130 3.167
0.000 1.766 3.091
0.000 3.590 1.229
0.000 -0.057 4.952
1.715 0.841 1.063
1.715 2.692 5.118
1.715 2.896 -0.076
0.000 0.000 0.000

---

KCe2RuO8 (PBE, optimized geometry); energy relative to the elements, uncorrected = -2006 meV per atom; E_tot = -85.978 eV/cell; magnetization = 1.010 μB per formula unit
1.0
-4.699 1.206 -1.847
-2.129 -2.096 4.012
0.256 6.252 3.420
Ce O Ru K
2 8 1 1
Cartesian
-3.352 1.134 1.950
-3.221 4.229 3.635
-1.956 -0.214 0.552
-2.293 3.636 5.690
-2.241 2.949 2.216
-4.331 2.414 3.370
-4.616 5.577 5.033
-4.127 5.682 2.064
-2.446 -0.320 3.522
-4.279 1.727 -0.105
0.000 0.000 0.000
0.128 3.126 1.710

---

KCeRu2O8 (PBE, optimized geometry); energy relative to the elements, uncorrected = -1502 meV per atom; E_tot = -83.268 eV/cell; magnetization = 3.019 μB per formula unit
1.0
5.970 0.000 0.000
-2.985 5.170 0.000
0.000 0.000 7.701
O Ce Ru K
8 1 2 1
Cartesian
0.000 3.447 0.001
1.475 4.277 5.279
1.510 0.893 2.422
2.985 1.723 7.699
3.003 3.416 2.422
-0.018 1.754 5.279
4.441 0.861 2.422
-1.456 4.309 5.279
0.000 0.000 3.850
2.985 1.723 1.743
0.000 3.447 5.958
0.000 0.000 0.000

---

K2CeRuO6 (PBE, optimized geometry); energy relative to the elements, uncorrected = -1870 meV per atom; E_tot = -65.854 eV/cell; magnetization = 1.908 μB per formula unit
1.0
-2.154 1.504 -5.308
1.905 -5.145 -2.231
-3.785 -3.603 -2.788
K O Ru Ce
2 6 1 1
Cartesian
-1.002 -5.284 -4.394
-3.032 -1.960 -5.932
-0.067 -0.977 -2.022
-2.212 -4.597 -7.012
-1.065 -0.281 -4.482
-3.967 -6.267 -8.304
-1.822 -2.646 -3.314
-2.969 -6.963 -5.845
-0.125 -1.820 -3.769
0.000 0.000 0.000

---

KCeS2O8 (PBE, optimized geometry); energy relative to the elements, uncorrected = -2022 meV per atom; E_tot = -79.215 eV/cell; magnetization = 1.000 μB per formula unit; E above lowest polymorph = 0.0265 eV/atom
1.0
5.426 0.000 0.000
-2.713 4.699 0.000
0.000 0.000 8.328
O S K Ce
8 2 1 1
Cartesian
1.360 3.474 5.679
3.098 2.915 2.649
3.688 0.559 2.649
1.353 1.226 2.649
0.000 3.133 7.674
-0.385 1.784 5.679
-0.975 4.140 5.679
2.713 1.566 0.654
0.000 3.133 6.220
2.713 1.566 2.108
0.000 0.000 0.000
0.000 0.000 4.164

---

KCeSO5 (PBE, optimized geometry); energy relative to the elements, uncorrected = -2159 meV per atom; E_tot = -106.445 eV/cell; magnetization = 0.986 μB per formula unit
1.0
-5.965 -1.419 1.329
2.868 0.409 5.565
-0.290 7.608 -2.677
O Ce K S
10 2 2 2
Cartesian
-2.936 2.074 3.094
-5.478 4.432 -0.341
0.356 4.824 3.406
-4.193 0.049 2.493
-1.914 0.387 1.690
-3.743 1.773 0.810
2.091 2.165 4.558
0.806 6.548 1.723
-1.474 6.210 2.526
-0.451 4.523 1.122
0.000 0.000 0.000
-0.145 3.804 -1.339
-0.162 1.698 3.477
-3.225 4.898 0.739
-0.185 5.528 2.197
-3.202 1.069 2.019